No. 1
6
Lattice="0.000 3.411 3.411 3.411 0.000 3.411 3.411 3.411 0.000" Properties=species:S:1:pos:R:3 comment="TaMnCu4, optimized geometry, DFT PBE-GGA" final_energy_ev_per_cell=-36.7 magnetic_moment_mub_per_cell=2.815 delta_e_f_ev_per_atom=0.126 pbc="T T T"
Ta 0.000 0.000 0.000
Mn 1.706 1.706 1.706
Cu 4.263 2.560 2.560
Cu 2.560 4.263 2.560
Cu 2.560 2.560 4.263
Cu 4.263 4.263 4.263


No. 2
10
Lattice="6.540 0.000 0.000 0.000 6.540 0.000 0.000 0.000 3.396" Properties=species:S:1:pos:R:3 comment="Ta2MnCu2, optimized geometry, DFT PBE-GGA" final_energy_ev_per_cell=-79.2 magnetic_moment_mub_per_cell=0.001 delta_e_f_ev_per_atom=0.298 pbc="T T T"
Ta 1.177 2.093 0.000
Ta 2.093 5.363 0.000
Ta 4.447 1.177 0.000
Ta 5.363 4.447 0.000
Mn 0.000 0.000 1.698
Mn 3.270 3.270 1.698
Cu 0.819 4.089 1.698
Cu 2.451 0.819 1.698
Cu 4.089 5.721 1.698
Cu 5.721 2.451 1.698


No. 3
5
Lattice="4.561 0.000 0.000 0.000 4.561 0.000 0.000 0.000 4.561" Properties=species:S:1:pos:R:3 comment="Ta3MnCu, optimized geometry, DFT PBE-GGA" final_energy_ev_per_cell=-44.1 magnetic_moment_mub_per_cell=0.000 delta_e_f_ev_per_atom=0.953 polymorph_energy_mev_per_atom=0 pbc="T T T"
Ta 0.000 0.000 2.280
Ta 0.000 2.280 0.000
Ta 2.280 0.000 0.000
Mn 0.000 0.000 0.000
Cu 2.280 2.280 2.280